# 1
VASP calculation (GGA-PBE) on a geometry-optimized LuPaPt2 structure.

abc: 5.187 5.187 5.187
angles: 54.35 54.35 54.35
Sites, in units of the cell vectors:
1 Lu 0.000 0.000 0.000
2 Pa 0.500 0.500 0.500
3 Pt 0.272 0.272 0.272
4 Pt 0.728 0.728 0.728

energy above the most stable polymorph in this dataset	0.015	eV per atom
formation energy	-1.016	eV/atom

***

# 2
VASP calculation (GGA-PBE) on a geometry-optimized Lu2PaPt structure.

abc: 3.396 3.396 8.178
angles: 90.00 90.00 90.00
Sites, in units of the cell vectors:
1 Lu 0.000 0.000 0.205
2 Lu 0.000 0.000 0.795
3 Pa 0.500 0.500 0.500
4 Pt 0.500 0.500 0.000

formation energy	-0.542	eV/atom

***

# 3
VASP calculation (GGA-PBE) on a geometry-optimized LuPaPt2 structure.

abc: 3.364 3.364 7.319
angles: 90.00 90.00 90.00
Sites, in units of the cell vectors:
1 Lu 0.000 0.000 0.000
2 Pa 0.000 0.000 0.500
3 Pt 0.500 0.500 0.237
4 Pt 0.500 0.500 0.763

energy above the most stable polymorph in this dataset	0.000	eV per atom
formation energy	-1.031	eV/atom

***

# 4
VASP calculation (GGA-PBE) on a geometry-optimized LuPaPt structure.

abc: 4.769 4.769 3.488
angles: 90.00 90.00 120.00
Sites, in units of the cell vectors:
1 Lu 0.000 0.000 0.000
2 Pa 0.333 0.667 0.574
3 Pt 0.667 0.333 0.298

energy above the most stable polymorph in this dataset	0.082	eV per atom
formation energy	-0.365	eV/atom

***

# 5
VASP calculation (GGA-PBE) on a geometry-optimized LuPaPt4 structure.

abc: 5.415 5.415 5.415
angles: 60.00 60.00 60.00
Sites, in units of the cell vectors:
1 Lu 0.000 0.000 0.000
2 Pa 0.250 0.250 0.250
3 Pt 0.124 0.625 0.625
4 Pt 0.625 0.124 0.625
5 Pt 0.625 0.625 0.124
6 Pt 0.625 0.625 0.625

formation energy	-0.999	eV/atom

***

# 6
VASP calculation (GGA-PBE) on a geometry-optimized LuPa2Pt structure.

abc: 5.084 5.084 5.084
angles: 59.87 59.87 59.87
Sites, in units of the cell vectors:
1 Lu 0.000 0.000 0.000
2 Pa 0.250 0.250 0.250
3 Pa 0.750 0.750 0.750
4 Pt 0.500 0.500 0.500

formation energy	-0.016	eV/atom

***

What did the sixth record say?
VASP calculation (GGA-PBE) on a geometry-optimized LuPa2Pt structure.

abc: 5.084 5.084 5.084
angles: 59.87 59.87 59.87
Sites, in units of the cell vectors:
1 Lu 0.000 0.000 0.000
2 Pa 0.250 0.250 0.250
3 Pa 0.750 0.750 0.750
4 Pt 0.500 0.500 0.500

formation energy	-0.016	eV/atom